{"formula": "LiWCl2", "functional": "PBE", "state": "optimized geometry", "rho_g_cm3": 6.6, "dos_ef_per_ev_atom": 0.36, "crystal_system": "monoclinic", "space_group": "C2/m, No. 12", "total_energy_ev_per_atom": -4.65, "de_polymorph_kcal_per_mol_atoms": 9.95, "lattice_angstrom": [[-0.259, -0.882, 4.069], [-0.664, -3.378, 2.355], [5.341, -1.385, 0.754]], "species": ["Cl", "Cl", "W", "Li"], "frac_coords": [[0.023, 0.023, 0.972], [0.477, 0.477, 0.528], [0.750, 0.750, 0.750], [0.250, 0.250, 0.250]]}


{"formula": "Li2WCl", "functional": "PBE", "state": "optimized geometry", "rho_g_cm3": 5.9, "dos_ef_per_ev_atom": 0.75, "crystal_system": "tetragonal", "space_group": "P4/mmm, No. 123", "total_energy_ev_per_atom": -4.05, "de_polymorph_kcal_per_mol_atoms": 18.89, "lattice_angstrom": [[2.788, 0.000, 0.000], [0.000, 4.837, 0.000], [0.000, 0.000, 4.837]], "species": ["Li", "Li", "W", "Cl"], "frac_coords": [[0.000, 0.000, 0.000], [0.000, 0.500, 0.500], [0.500, 0.500, 0.000], [0.500, 0.000, 0.500]]}


{"formula": "LiWCl", "functional": "PBE", "state": "optimized geometry", "rho_g_cm3": 7.7, "dos_ef_per_ev_atom": 0.37, "crystal_system": "cubic", "space_group": "F-43m, No. 216", "total_energy_ev_per_atom": -4.00, "de_polymorph_kcal_per_mol_atoms": 31.82, "lattice_angstrom": [[4.109, 0.000, 0.000], [2.054, 3.558, 0.000], [2.054, 1.186, 3.355]], "species": ["W", "Li", "Cl"], "frac_coords": [[0.750, 0.750, 0.750], [0.500, 0.500, 0.500], [0.000, 0.000, 0.000]]}


{"formula": "Li2WCl", "functional": "PBE", "state": "optimized geometry", "rho_g_cm3": 5.8, "dos_ef_per_ev_atom": 0.58, "crystal_system": "monoclinic", "space_group": "Pm, No. 6", "total_energy_ev_per_atom": -4.40, "de_polymorph_kcal_per_mol_atoms": 10.88, "lattice_angstrom": [[-1.765, 3.963, 1.456], [-2.160, -1.348, 1.050], [2.499, -0.583, 4.616]], "species": ["Li", "Li", "W", "Cl"], "frac_coords": [[0.500, 0.139, 0.294], [0.000, 0.115, 0.018], [0.000, 0.625, 0.512], [0.500, 0.621, 0.676]]}